Compound: La4ZnSi2
Source: Alexandria
Functional: PBE
Structure: relaxed

Values from the calculation:
Spin magnetization ... 0.000 Bohr magnetons per cell
Space group ... P2_1/m (11)
Raw total energy ... -0.1832 hartree per atom

Cell lengths 6.5994, 6.9979, 8.8512 Å; angles 75.67, 90.00, 90.00 degrees
Fractional positions:
1 La 0.4969 0.1780 0.2442
2 La 0.5031 0.8220 0.7558
3 La 0.7500 0.3242 0.8516
4 La 0.2500 0.6758 0.1484
5 Si 0.7500 0.1859 0.5486
6 Si 0.7500 0.5656 0.0935
7 Zn 0.2500 0.0879 0.9289
8 La 0.2500 0.3568 0.5791
9 La 0.9969 0.8220 0.7558
10 La 0.0031 0.1780 0.2442
11 Si 0.2500 0.8141 0.4514
12 La 0.7500 0.6432 0.4209
13 Si 0.2500 0.4344 0.9065
14 Zn 0.7500 0.9121 0.0711